## LiAgGeAu2 (PBE-GGA)

Data for crystalline LiAgGeAu2 at its relaxed geometry.

## Properties
polymorph energy (0 for the lowest one): 24 meV per atom
formation energy: 0.34 eV per atom
total moment: 0.000 μB per cell

```
LiAgGeAu2
1.0
4.5592 0.0000 0.0000
0.0000 4.5592 0.0000
0.0000 0.0000 4.4848
Li Ag Ge Au
1 1 1 2
Direct
0.0000 0.0000 0.0000
0.5000 0.5000 0.5000
0.0000 0.0000 0.5000
0.0000 0.5000 0.0000
0.5000 0.0000 0.0000
```

=====

## LiAgGeAu2 (PBE-GGA)

Data for crystalline LiAgGeAu2 at its relaxed geometry.

## Properties
polymorph energy (0 for the lowest one): 0 meV per atom
formation energy: 0.31 eV per atom
total moment: 0.000 μB per cell

```
LiAgGeAu2
1.0
4.5712 0.0000 0.0000
0.0000 4.5712 0.0000
0.0000 0.0000 4.5268
Li Ag Ge Au
1 1 1 2
Direct
0.0000 0.0000 0.0000
0.0000 0.0000 0.5000
0.5000 0.5000 0.5000
0.0000 0.5000 0.0000
0.5000 0.0000 0.0000
```

=====

## LiAgGeAu (PBE-GGA)

Data for crystalline LiAgGeAu at its relaxed geometry.

## Properties
formation energy: -0.25 eV per atom
total moment: 0.000 μB per cell

```
LiAgGeAu
1.0
0.0000 3.2143 3.2143
3.2143 0.0000 3.2143
3.2143 3.2143 0.0000
Li Ag Ge Au
1 1 1 1
Direct
0.0000 0.0000 0.0000
0.2500 0.2500 0.2500
0.5000 0.5000 0.5000
0.7500 0.7500 0.7500
```

=====

## MgAgGeAu (PBE-GGA)

Data for crystalline MgAgGeAu at its relaxed geometry.

## Properties
formation energy: -0.13 eV per atom
total moment: 0.000 μB per cell

```
MgAgGeAu
1.0
0.0000 3.3159 3.3159
3.3159 0.0000 3.3159
3.3159 3.3159 0.0000
Mg Ag Ge Au
1 1 1 1
Direct
0.0000 0.0000 0.0000
0.7500 0.7500 0.7500
0.5000 0.5000 0.5000
0.2500 0.2500 0.2500
```

=====

## Nd2AgGe4Au3 (PBE-GGA)

Data for crystalline Nd2AgGe4Au3 at its relaxed geometry.

## Properties
formation energy: -0.51 eV per atom
total moment: 0.000 μB per cell

```
Nd2AgGe4Au3
1.0
4.4273 0.0000 0.0000
0.0000 4.4273 0.0000
0.0000 0.0000 10.7738
Nd Ag Ge Au
2 1 4 3
Direct
0.0000 0.5000 0.2459
0.5000 0.0000 0.7541
0.5000 0.5000 0.0000
0.0000 0.0000 0.5000
0.0000 0.5000 0.8655
0.5000 0.0000 0.1345
0.5000 0.5000 0.5000
0.0000 0.0000 0.0000
0.0000 0.5000 0.6335
0.5000 0.0000 0.3665
```

=====

## PaAgGeAu (PBE-GGA)

Data for crystalline PaAgGeAu at its relaxed geometry.

## Properties
formation energy: -0.22 eV per atom
total moment: 0.267 μB per cell

```
PaAgGeAu
1.0
0.0000 3.4584 3.4584
3.4584 0.0000 3.4584
3.4584 3.4584 0.0000
Pa Ag Ge Au
1 1 1 1
Direct
0.0000 0.0000 0.0000
0.5000 0.5000 0.5000
0.7500 0.7500 0.7500
0.2500 0.2500 0.2500
```

=====

## AgGePb2Au2 (PBE-GGA)

Data for crystalline AgGePb2Au2 at its relaxed geometry.

## Properties
formation energy: -0.03 eV per atom
total moment: 0.000 μB per cell

```
AgGePb2Au2
1.0
-2.9356 7.6936 3.0352
2.9356 -7.6936 3.0352
2.9356 7.6936 -3.0352
Ag Ge Pb Au
2 2 4 4
Direct
0.2500 0.2500 0.0000
0.7500 0.7500 0.0000
0.2500 0.7500 0.5000
0.7500 0.2500 0.5000
0.1798 0.2141 0.3939
0.3202 0.7141 0.0342
0.6798 0.2859 0.9658
0.8202 0.7859 0.6061
0.1219 0.7166 0.8385
0.3781 0.2166 0.5948
0.6219 0.7834 0.4052
0.8781 0.2834 0.1615
```

=====

## AgGePbAu (PBE-GGA)

Data for crystalline AgGePbAu at its relaxed geometry.

## Properties
formation energy: 0.15 eV per atom
total moment: 0.000 μB per cell

```
AgGePbAu
1.0
0.0000 3.5140 3.5140
3.5140 0.0000 3.5140
3.5140 3.5140 0.0000
Ag Ge Pb Au
1 1 1 1
Direct
0.0000 0.0000 0.0000
0.7500 0.7500 0.7500
0.2500 0.2500 0.2500
0.5000 0.5000 0.5000
```

=====

## AgGePdAu2 (PBE-GGA)

Data for crystalline AgGePdAu2 at its relaxed geometry.

## Properties
formation energy: 0.93 eV per atom
total moment: 0.000 μB per cell

```
AgGePdAu2
1.0
5.0306 0.0000 0.0000
0.0000 5.0306 0.0000
0.0000 0.0000 4.9900
Ag Ge Pd Au
1 1 1 2
Direct
0.0000 0.0000 0.0000
0.5000 0.5000 0.5000
0.0000 0.0000 0.5000
0.0000 0.5000 0.0000
0.5000 0.0000 0.0000
```

=====

## Pm2AgGe3Au4 (PBE-GGA)

Data for crystalline Pm2AgGe3Au4 at its relaxed geometry.

## Properties
formation energy: -0.48 eV per atom
total moment: 0.000 μB per cell

```
Pm2AgGe3Au4
1.0
4.3753 0.0000 0.0000
0.0000 4.3753 0.0000
0.0000 0.0000 11.0458
Pm Ag Ge Au
2 1 3 4
Direct
0.0000 0.5000 0.2395
0.5000 0.0000 0.7605
0.0000 0.0000 0.5000
0.0000 0.5000 0.8658
0.5000 0.0000 0.1342
0.5000 0.5000 0.5000
0.0000 0.0000 0.0000
0.0000 0.5000 0.6435
0.5000 0.0000 0.3565
0.5000 0.5000 0.0000
```

=====

## Pm2AgGe4Au3 (PBE-GGA)

Data for crystalline Pm2AgGe4Au3 at its relaxed geometry.

## Properties
formation energy: -0.50 eV per atom
total moment: 0.000 μB per cell

```
Pm2AgGe4Au3
1.0
4.3933 0.0000 0.0000
0.0000 4.3933 0.0000
0.0000 0.0000 10.8599
Pm Ag Ge Au
2 1 4 3
Direct
0.0000 0.5000 0.2431
0.5000 0.0000 0.7569
0.5000 0.5000 0.0000
0.0000 0.0000 0.5000
0.0000 0.5000 0.8650
0.5000 0.0000 0.1350
0.5000 0.5000 0.5000
0.0000 0.0000 0.0000
0.0000 0.5000 0.6355
0.5000 0.0000 0.3645
```

=====

## Pu4AgGe2Au (PBE-GGA)

Data for crystalline Pu4AgGe2Au at its relaxed geometry.

## Properties
formation energy: -0.28 eV per atom
total moment: 22.468 μB per cell

```
Pu4AgGe2Au
1.0
2.5561 1.4758 8.3497
-2.5561 1.4758 8.3497
0.0000 -2.9515 8.3497
Pu Ag Ge Au
4 1 2 1
Direct
0.1229 0.1229 0.1229
0.3731 0.3731 0.3731
0.6269 0.6269 0.6269
0.8771 0.8771 0.8771
0.5000 0.5000 0.5000
0.2473 0.2473 0.2473
0.7527 0.7527 0.7527
0.0000 0.0000 0.0000
```

=====

## Pu2AgGe4Au3 (PBE-GGA)

Data for crystalline Pu2AgGe4Au3 at its relaxed geometry.

## Properties
formation energy: -0.26 eV per atom
total moment: 10.927 μB per cell

```
Pu2AgGe4Au3
1.0
4.3485 0.0000 0.0000
0.0000 4.3485 0.0000
0.0000 0.0000 11.0456
Pu Ag Ge Au
2 1 4 3
Direct
0.0000 0.5000 0.2433
0.5000 0.0000 0.7567
0.5000 0.5000 0.0000
0.0000 0.0000 0.5000
0.0000 0.5000 0.8614
0.5000 0.0000 0.1386
0.5000 0.5000 0.5000
0.0000 0.0000 0.0000
0.0000 0.5000 0.6357
0.5000 0.0000 0.3643
```

=====

## RbAgGeAu2 (PBE-GGA)

Data for crystalline RbAgGeAu2 at its relaxed geometry.

## Properties
formation energy: -0.07 eV per atom
total moment: 0.000 μB per cell

```
RbAgGeAu2
1.0
5.0910 0.0000 0.0000
0.0000 5.0910 0.0000
0.0000 0.0000 5.1398
Rb Ag Ge Au
1 1 1 2
Direct
0.0000 0.0000 0.0000
0.5000 0.5000 0.0000
0.5000 0.5000 0.5000
0.0000 0.5000 0.5000
0.5000 0.0000 0.5000
```

=====

## RbAg2GeAu (PBE-GGA)

Data for crystalline RbAg2GeAu at its relaxed geometry.

## Properties
formation energy: -0.01 eV per atom
total moment: 0.000 μB per cell

```
RbAg2GeAu
1.0
5.1404 0.0000 0.0000
0.0000 5.1404 0.0000
0.0000 0.0000 5.0666
Rb Ag Ge Au
1 2 1 1
Direct
0.0000 0.0000 0.0000
0.0000 0.5000 0.5000
0.5000 0.0000 0.5000
0.5000 0.5000 0.5000
0.5000 0.5000 0.0000
```

=====

## Rb2AgGeAu (PBE-GGA)

Data for crystalline Rb2AgGeAu at its relaxed geometry.

## Properties
formation energy: 0.19 eV per atom
total moment: 0.000 μB per cell

```
Rb2AgGeAu
1.0
6.7634 0.0000 0.0000
0.0000 6.7634 0.0000
0.0000 0.0000 4.7888
Rb Ag Ge Au
2 1 1 1
Direct
0.0000 0.5000 0.0000
0.5000 0.0000 0.0000
0.0000 0.0000 0.5000
0.0000 0.0000 0.0000
0.5000 0.5000 0.5000
```

=====

## Ag2GeRuAu (PBE-GGA)

Data for crystalline Ag2GeRuAu at its relaxed geometry.

## Properties
formation energy: 0.94 eV per atom
total moment: 0.909 μB per cell

```
Ag2GeRuAu
1.0
5.1185 0.0000 0.0000
0.0000 5.1185 0.0000
0.0000 0.0000 4.5888
Ag Ge Ru Au
2 1 1 1
Direct
0.0000 0.5000 0.0000
0.5000 0.0000 0.0000
0.0000 0.0000 0.5000
0.0000 0.0000 0.0000
0.5000 0.5000 0.5000
```

=====

## AgGeAu2S4 (PBE-GGA)

Data for crystalline AgGeAu2S4 at its relaxed geometry.

## Properties
total moment: 0.000 μB per cell
E_form (uncorrected): -90 meV per atom

```
AgGeAu2S4
1.0
-3.1128 3.2745 4.9057
3.1128 -3.2745 4.9057
3.1128 3.2745 -4.9057
Ag Ge Au S
1 1 2 4
Direct
0.0000 0.0000 0.0000
0.5000 0.0000 0.5000
0.2720 0.5000 0.7720
0.7280 0.5000 0.2280
0.1503 0.0563 0.4755
0.4192 0.9437 0.0941
0.5808 0.6748 0.5245
0.8497 0.3252 0.9059
```

=====

## AgGeAu2Se (PBE-GGA)

Data for crystalline AgGeAu2Se at its relaxed geometry.

## Properties
total moment: 0.000 μB per cell
E_form (uncorrected): 629 meV per atom

```
AgGeAu2Se
1.0
5.0682 0.0000 0.0000
0.0000 5.0682 0.0000
0.0000 0.0000 4.9118
Ag Ge Au Se
1 1 2 1
Direct
0.0000 0.0000 0.0000
0.5000 0.5000 0.0000
0.0000 0.5000 0.5000
0.5000 0.0000 0.5000
0.0000 0.0000 0.5000
```

=====

## SrAgGe2Au5 (PBE-GGA)

Data for crystalline SrAgGe2Au5 at its relaxed geometry.

## Properties
formation energy: -0.16 eV per atom
total moment: 0.000 μB per cell

```
SrAgGe2Au5
1.0
4.9405 0.0000 0.0000
0.0000 4.9405 0.0000
0.0000 0.0000 8.7078
Sr Ag Ge Au
1 1 2 5
Direct
0.0000 0.0000 0.0000
0.0000 0.0000 0.5000
0.5000 0.5000 0.2836
0.5000 0.5000 0.7164
0.0000 0.5000 0.3295
0.0000 0.5000 0.6705
0.5000 0.0000 0.3295
0.5000 0.0000 0.6705
0.5000 0.5000 0.0000
```

=====

## SrAgGeAu3 (PBE-GGA)

Data for crystalline SrAgGeAu3 at its relaxed geometry.

## Properties
formation energy: -0.25 eV per atom
total moment: 0.000 μB per cell

```
SrAgGeAu3
1.0
3.6054 -6.2464 0.0000
3.6054 6.2464 0.0000
0.0000 0.0000 6.2835
Sr Ag Ge Au
2 2 2 6
Direct
0.2068 0.7932 0.7500
0.7932 0.2068 0.2500
0.4525 0.5475 0.7500
0.5475 0.4525 0.2500
0.1232 0.8768 0.2500
0.8768 0.1232 0.7500
0.2017 0.2017 0.0000
0.2017 0.2017 0.5000
0.3245 0.6755 0.2500
0.6755 0.3245 0.7500
0.7983 0.7983 0.0000
0.7983 0.7983 0.5000
```

=====

## Sr2AgGe3Au4 (PBE-GGA)

Data for crystalline Sr2AgGe3Au4 at its relaxed geometry.

## Properties
formation energy: -0.47 eV per atom
total moment: 0.000 μB per cell

```
Sr2AgGe3Au4
1.0
4.5968 0.0000 0.0000
0.0000 4.5968 0.0000
0.0000 0.0000 10.7062
Sr Ag Ge Au
2 1 3 4
Direct
0.0000 0.5000 0.2488
0.5000 0.0000 0.7512
0.0000 0.0000 0.5000
0.0000 0.5000 0.8748
0.5000 0.0000 0.1252
0.5000 0.5000 0.5000
0.0000 0.0000 0.0000
0.0000 0.5000 0.6384
0.5000 0.0000 0.3616
0.5000 0.5000 0.0000
```

=====

## Sr2AgGe4Au3 (PBE-GGA)

Data for crystalline Sr2AgGe4Au3 at its relaxed geometry.

## Properties
formation energy: -0.46 eV per atom
total moment: 0.000 μB per cell

```
Sr2AgGe4Au3
1.0
4.5212 0.0000 0.0000
0.0000 4.5212 0.0000
0.0000 0.0000 10.8954
Sr Ag Ge Au
2 1 4 3
Direct
0.0000 0.5000 0.2456
0.5000 0.0000 0.7544
0.5000 0.5000 0.0000
0.0000 0.0000 0.5000
0.0000 0.5000 0.8667
0.5000 0.0000 0.1333
0.5000 0.5000 0.5000
0.0000 0.0000 0.0000
0.0000 0.5000 0.6313
0.5000 0.0000 0.3687
```

=====

## Sr2AgGe3Au12 (PBE-GGA)

Data for crystalline Sr2AgGe3Au12 at its relaxed geometry.

## Properties
formation energy: -0.04 eV per atom
total moment: 0.000 μB per cell

```
Sr2AgGe3Au12
1.0
4.8032 2.7731 5.4677
-4.8032 2.7731 5.4677
0.0000 -5.5462 5.4677
Sr Ag Ge Au
2 1 3 12
Direct
0.1159 0.1159 0.1159
0.8841 0.8841 0.8841
0.5000 0.5000 0.5000
0.0000 0.5000 0.5000
0.5000 0.0000 0.5000
0.5000 0.5000 0.0000
0.1543 0.6511 0.6511
0.1794 0.1794 0.6601
0.1794 0.6601 0.1794
0.3399 0.8206 0.8206
0.3489 0.3489 0.8457
0.3489 0.8457 0.3489
0.6511 0.1543 0.6511
0.6511 0.6511 0.1543
0.6601 0.1794 0.1794
0.8206 0.3399 0.8206
0.8206 0.8206 0.3399
0.8457 0.3489 0.3489
```

=====

## SrAg2GeAu4 (PBE-GGA)

Data for crystalline SrAg2GeAu4 at its relaxed geometry.

## Properties
formation energy: -0.19 eV per atom
total moment: 0.000 μB per cell

```
SrAg2GeAu4
1.0
2.3587 1.3618 8.8587
-2.3587 1.3618 8.8587
0.0000 -2.7236 8.8587
Sr Ag Ge Au
1 2 1 4
Direct
0.0000 0.0000 0.0000
0.2438 0.2438 0.2438
0.7562 0.7562 0.7562
0.5000 0.5000 0.5000
0.1315 0.1315 0.1315
0.3992 0.3992 0.3992
0.6008 0.6008 0.6008
0.8685 0.8685 0.8685
```